SbS2BrN | PBE | optimized geometry

Cell: 5.107 5.107 3.759 Å, 90.00 90.00 90.00°
Positions (direct):
Sb: 0.000 0.000 0.000
S: 0.000 0.500 0.500
S: 0.500 0.000 0.500
Br: 0.500 0.500 0.500
N: 0.500 0.500 0.000

Crystal system = tetragonal
Mass density = 4.74 g cm⁻³
Total moment = 0.00 μB/f.u.
Raw formation energy = 1.38 eV per atom
Excess energy over the best structure of this formula in the dataset = 1.514 eV/f.u.
Density of states at the Fermi level = 1.972 states/eV/f.u.
E_tot = -3.0902 eV per atom